Cd2BiAu | PBE | relaxed

calculated total energy	-2.2107	eV/atom

Unit cell a=5.0965 b=5.0965 c=5.0965 alpha=60.00 beta=60.00 gamma=60.00
Fractional coordinates of all 4 atoms:
Au (0.2500, 0.2500, 0.2500)
Cd (0.0000, 0.0000, 0.0000)
Cd (0.7500, 0.7500, 0.7500)
Bi (0.5000, 0.5000, 0.5000)

CdBi2Au | PBE | relaxed

calculated total energy	-2.9482	eV/atom

Unit cell a=5.3065 b=5.3065 c=5.3065 alpha=60.00 beta=60.00 gamma=60.00
Fractional coordinates of all 4 atoms:
Cd (0.7500, 0.7500, 0.7500)
Bi (0.0000, 0.0000, 0.0000)
Bi (0.2500, 0.2500, 0.2500)
Au (0.5000, 0.5000, 0.5000)

CdCoBiAu | PBE | relaxed

calculated total energy	-3.4850	eV/atom

Unit cell a=4.7937 b=4.7937 c=4.7937 alpha=60.00 beta=60.00 gamma=60.00
Fractional coordinates of all 4 atoms:
Cd (0.5000, 0.5000, 0.5000)
Bi (0.0000, 0.0000, 0.0000)
Au (0.2500, 0.2500, 0.2500)
Co (0.7500, 0.7500, 0.7500)

CdCuBiAu | PBE | relaxed

calculated total energy	-2.8201	eV/atom

Unit cell a=4.9103 b=4.9103 c=4.9103 alpha=60.00 beta=60.00 gamma=60.00
Fractional coordinates of all 4 atoms:
Au (0.2500, 0.2500, 0.2500)
Bi (0.0000, 0.0000, 0.0000)
Cu (0.7500, 0.7500, 0.7500)
Cd (0.5000, 0.5000, 0.5000)

CdBiPdAu | PBE | relaxed

calculated total energy	-3.4562	eV/atom

Unit cell a=4.9094 b=4.9094 c=4.9094 alpha=60.00 beta=60.00 gamma=60.00
Fractional coordinates of all 4 atoms:
Bi (0.5000, 0.5000, 0.5000)
Cd (0.0000, 0.0000, 0.0000)
Au (0.7500, 0.7500, 0.7500)
Pd (0.2500, 0.2500, 0.2500)

RbCd2BiAu | PBE | relaxed

calculated total energy	-2.2471	eV/atom

Unit cell a=7.0939 b=7.0939 c=7.0939 alpha=139.55 beta=139.55 gamma=58.54
Fractional coordinates of all 5 atoms:
Bi (0.6097, 0.6097, 0.0000)
Cd (0.2582, 0.7582, 0.5000)
Cd (0.7582, 0.2582, 0.5000)
Rb (0.9977, 0.9977, 0.0000)
Au (0.3763, 0.3763, 0.0000)

BiAuCl6 | PBE | relaxed

calculated total energy	-2.9342	eV/atom

Unit cell a=7.1270 b=10.1652 c=13.9562 alpha=104.99 beta=95.09 gamma=110.36
Fractional coordinates of all 32 atoms:
Bi (0.4062, 0.0715, 0.3789)
Bi (0.9719, 0.3127, 0.8714)
Bi (0.0281, 0.6873, 0.1286)
Bi (0.5938, 0.9285, 0.6211)
Cl (0.0226, 0.9443, 0.2748)
Cl (0.2805, 0.6220, 0.4962)
Cl (0.2291, 0.2833, 0.4871)
Cl (0.9588, 0.5332, 0.7810)
Cl (0.3295, 0.4161, 0.7769)
Cl (0.2494, 0.9511, 0.5145)
Cl (0.2410, 0.9043, 0.0339)
Cl (0.7590, 0.0957, 0.9661)
Cl (0.2607, 0.5658, 0.0221)
Cl (0.7393, 0.4342, 0.9779)
Cl (0.0412, 0.4668, 0.2190)
Cl (0.7506, 0.0489, 0.4855)
Cl (0.7406, 0.1578, 0.2514)
Cl (0.2486, 0.2007, 0.9744)
Cl (0.6331, 0.7300, 0.7499)
Cl (0.7195, 0.3780, 0.5038)
Cl (0.6705, 0.5839, 0.2231)
Cl (0.4024, 0.8140, 0.2598)
Cl (0.5976, 0.1860, 0.7402)
Cl (0.7709, 0.7167, 0.5129)
Cl (0.9774, 0.0557, 0.7252)
Cl (0.7514, 0.7993, 0.0256)
Cl (0.3669, 0.2700, 0.2501)
Cl (0.2594, 0.8422, 0.7486)
Au (0.2966, 0.6314, 0.7653)
Au (0.5000, 0.5000, 0.5000)
Au (0.0000, 0.0000, 0.0000)
Au (0.7034, 0.3686, 0.2347)

Rb2BiAuCl6 | PBE | relaxed

calculated total energy	-3.2239	eV/atom

Unit cell a=7.6776 b=7.6776 c=7.6776 alpha=122.52 beta=122.52 gamma=85.69
Fractional coordinates of all 10 atoms:
Cl (0.2422, 0.2422, 0.0000)
Cl (0.7578, 0.7578, 0.0000)
Cl (0.6829, 0.1916, 0.8746)
Cl (0.8084, 0.6829, 0.4913)
Cl (0.1916, 0.3171, 0.5087)
Cl (0.3171, 0.8084, 0.1254)
Rb (0.2500, 0.7500, 0.5000)
Rb (0.7500, 0.2500, 0.5000)
Bi (0.0000, 0.0000, 0.0000)
Au (0.5000, 0.5000, 0.0000)

Rb2BiAuCl6 | PBE | relaxed

calculated total energy	-3.2109	eV/atom

Unit cell a=7.6330 b=7.6330 c=7.6330 alpha=60.00 beta=60.00 gamma=60.00
Fractional coordinates of all 10 atoms:
Rb (0.7500, 0.7500, 0.7500)
Rb (0.2500, 0.2500, 0.2500)
Cl (0.7519, 0.2481, 0.2481)
Cl (0.7519, 0.7519, 0.2481)
Cl (0.7519, 0.2481, 0.7519)
Cl (0.2481, 0.7519, 0.7519)
Cl (0.2481, 0.7519, 0.2481)
Cl (0.2481, 0.2481, 0.7519)
Au (0.0000, 0.0000, 0.0000)
Bi (0.5000, 0.5000, 0.5000)

CoBi2Au | PBE | relaxed

calculated total energy	-4.0284	eV/atom

Unit cell a=5.0266 b=5.0266 c=5.0266 alpha=60.00 beta=60.00 gamma=60.00
Last column: magnetic moment on the atom in μB.
Fractional coordinates of all 4 atoms:
Co (0.5000, 0.5000, 0.5000)  1.72
Au (0.2500, 0.2500, 0.2500)  0.02
Bi (0.0000, 0.0000, 0.0000)  0.03
Bi (0.7500, 0.7500, 0.7500)  -0.02

GaCoBiAu | PBE | relaxed

calculated total energy	-4.0046	eV/atom

Unit cell a=4.7569 b=4.7569 c=4.7569 alpha=60.00 beta=60.00 gamma=60.00
Fractional coordinates of all 4 atoms:
Bi (0.5000, 0.5000, 0.5000)
Co (0.2500, 0.2500, 0.2500)
Au (0.7500, 0.7500, 0.7500)
Ga (0.0000, 0.0000, 0.0000)

CoBiIrAu | PBE | relaxed

calculated total energy	-5.3862	eV/atom

Unit cell a=4.5905 b=4.5905 c=4.5905 alpha=60.00 beta=60.00 gamma=60.00
Last column: magnetic moment on the atom in μB.
Fractional coordinates of all 4 atoms:
Au (0.5000, 0.5000, 0.5000)  -0.03
Co (0.7500, 0.7500, 0.7500)  1.36
Ir (0.2500, 0.2500, 0.2500)  0.13
Bi (0.0000, 0.0000, 0.0000)  -0.02

LaCoBiAu | PBE | relaxed

calculated total energy	-5.0180	eV/atom

Unit cell a=5.0551 b=5.0551 c=5.0551 alpha=60.00 beta=60.00 gamma=60.00
Fractional coordinates of all 4 atoms:
Au (0.7500, 0.7500, 0.7500)
Co (0.2500, 0.2500, 0.2500)
Bi (0.0000, 0.0000, 0.0000)
La (0.5000, 0.5000, 0.5000)

LaCoBiAu | PBE | relaxed

calculated total energy	-4.7668	eV/atom

Unit cell a=5.1109 b=5.1109 c=5.1109 alpha=60.00 beta=60.00 gamma=60.00
Fractional coordinates of all 4 atoms:
Co (0.0000, 0.0000, 0.0000)
La (0.2500, 0.2500, 0.2500)
Au (0.7500, 0.7500, 0.7500)
Bi (0.5000, 0.5000, 0.5000)

LaCoBiAu | PBE | relaxed

calculated total energy	-4.9290	eV/atom

Unit cell a=5.1007 b=5.1007 c=5.1007 alpha=60.00 beta=60.00 gamma=60.00
Fractional coordinates of all 4 atoms:
Bi (0.2500, 0.2500, 0.2500)
La (0.5000, 0.5000, 0.5000)
Au (0.7500, 0.7500, 0.7500)
Co (0.0000, 0.0000, 0.0000)

LiCoBiAu | PBE | relaxed

calculated total energy	-4.1101	eV/atom

Unit cell a=4.5503 b=4.5503 c=4.5503 alpha=60.00 beta=60.00 gamma=60.00
Last column: magnetic moment on the atom in μB.
Fractional coordinates of all 4 atoms:
Li (0.2500, 0.2500, 0.2500)  0.00
Au (0.5000, 0.5000, 0.5000)  0.00
Bi (0.0000, 0.0000, 0.0000)  -0.02
Co (0.7500, 0.7500, 0.7500)  0.76

MgCoBiAu | PBE | relaxed

calculated total energy	-3.8405	eV/atom

Unit cell a=4.7194 b=4.7194 c=4.7194 alpha=60.00 beta=60.00 gamma=60.00
Last column: magnetic moment on the atom in μB.
Fractional coordinates of all 4 atoms:
Bi (0.0000, 0.0000, 0.0000)  -0.02
Au (0.5000, 0.5000, 0.5000)  -0.01
Mg (0.2500, 0.2500, 0.2500)  0.00
Co (0.7500, 0.7500, 0.7500)  0.90

NbCoBiAu | PBE | relaxed

calculated total energy	-5.6800	eV/atom

Unit cell a=4.7300 b=4.7300 c=4.7300 alpha=60.00 beta=60.00 gamma=60.00
Last column: magnetic moment on the atom in μB.
Fractional coordinates of all 4 atoms:
Nb (0.5000, 0.5000, 0.5000)  -0.23
Au (0.2500, 0.2500, 0.2500)  -0.01
Co (0.7500, 0.7500, 0.7500)  0.21
Bi (0.0000, 0.0000, 0.0000)  -0.01

NbCoBiAu | PBE | relaxed

calculated total energy	-5.7402	eV/atom

Unit cell a=4.6764 b=4.6764 c=4.6764 alpha=60.00 beta=60.00 gamma=60.00
Last column: magnetic moment on the atom in μB.
Fractional coordinates of all 4 atoms:
Co (0.7500, 0.7500, 0.7500)  -0.07
Nb (0.2500, 0.2500, 0.2500)  0.02
Bi (0.0000, 0.0000, 0.0000)  0.00
Au (0.5000, 0.5000, 0.5000)  0.00

CoNiBiAu | PBE | relaxed

calculated total energy	-4.7440	eV/atom

Unit cell a=4.5053 b=4.5053 c=4.5053 alpha=60.00 beta=60.00 gamma=60.00
Fractional coordinates of all 4 atoms:
Au (0.5000, 0.5000, 0.5000)
Co (0.7500, 0.7500, 0.7500)
Ni (0.2500, 0.2500, 0.2500)
Bi (0.0000, 0.0000, 0.0000)

CoBiPdAu | PBE | relaxed

calculated total energy	-4.7709	eV/atom

Unit cell a=4.6224 b=4.6224 c=4.6224 alpha=60.00 beta=60.00 gamma=60.00
Last column: magnetic moment on the atom in μB.
Fractional coordinates of all 4 atoms:
Pd (0.2500, 0.2500, 0.2500)  0.05
Co (0.7500, 0.7500, 0.7500)  1.37
Bi (0.0000, 0.0000, 0.0000)  -0.01
Au (0.5000, 0.5000, 0.5000)  -0.01

CoReBiAu | PBE | relaxed

calculated total energy	-5.7303	eV/atom

Unit cell a=4.6779 b=4.6779 c=4.6779 alpha=60.00 beta=60.00 gamma=60.00
Last column: magnetic moment on the atom in μB.
Fractional coordinates of all 4 atoms:
Bi (0.0000, 0.0000, 0.0000)  -0.03
Re (0.5000, 0.5000, 0.5000)  1.67
Co (0.7500, 0.7500, 0.7500)  1.28
Au (0.2500, 0.2500, 0.2500)  0.02

CoReBiAu | PBE | relaxed

calculated total energy	-5.9071	eV/atom

Unit cell a=4.5955 b=4.5955 c=4.5955 alpha=60.00 beta=60.00 gamma=60.00
Last column: magnetic moment on the atom in μB.
Fractional coordinates of all 4 atoms:
Re (0.2500, 0.2500, 0.2500)  0.21
Bi (0.0000, 0.0000, 0.0000)  -0.01
Au (0.5000, 0.5000, 0.5000)  0.03
Co (0.7500, 0.7500, 0.7500)  1.03

CoTcBiAu | PBE | relaxed

calculated total energy	-5.6554	eV/atom

Unit cell a=4.5832 b=4.5832 c=4.5832 alpha=60.00 beta=60.00 gamma=60.00
Last column: magnetic moment on the atom in μB.
Fractional coordinates of all 4 atoms:
Au (0.5000, 0.5000, 0.5000)  0.03
Co (0.7500, 0.7500, 0.7500)  1.12
Bi (0.0000, 0.0000, 0.0000)  -0.03
Tc (0.2500, 0.2500, 0.2500)  0.34

YCoBiAu | PBE | relaxed

calculated total energy	-5.3705	eV/atom

Unit cell a=4.9088 b=4.9088 c=4.9088 alpha=60.00 beta=60.00 gamma=60.00
Fractional coordinates of all 4 atoms:
Y (0.5000, 0.5000, 0.5000)
Co (0.2500, 0.2500, 0.2500)
Au (0.7500, 0.7500, 0.7500)
Bi (0.0000, 0.0000, 0.0000)

YCoBiAu | PBE | relaxed

calculated total energy	-5.1426	eV/atom

Unit cell a=4.9604 b=4.9604 c=4.9604 alpha=60.00 beta=60.00 gamma=60.00
Fractional coordinates of all 4 atoms:
Au (0.7500, 0.7500, 0.7500)
Y (0.2500, 0.2500, 0.2500)
Bi (0.5000, 0.5000, 0.5000)
Co (0.0000, 0.0000, 0.0000)

YCoBiAu | PBE | relaxed

calculated total energy	-5.3304	eV/atom

Unit cell a=4.8924 b=4.8924 c=4.8924 alpha=60.00 beta=60.00 gamma=60.00
Fractional coordinates of all 4 atoms:
Y (0.5000, 0.5000, 0.5000)
Bi (0.2500, 0.2500, 0.2500)
Au (0.7500, 0.7500, 0.7500)
Co (0.0000, 0.0000, 0.0000)

CsBi5Au3 | PBE | relaxed

calculated total energy	-3.4210	eV/atom

Unit cell a=6.0611 b=6.0611 c=8.6171 alpha=90.00 beta=90.00 gamma=120.00
Fractional coordinates of all 9 atoms:
Bi (0.3333, 0.6667, 0.7893)
Bi (0.0000, 0.0000, 0.5000)
Bi (0.6667, 0.3333, 0.2107)
Bi (0.6667, 0.3333, 0.7893)
Bi (0.3333, 0.6667, 0.2107)
Au (0.5000, 0.0000, 0.5000)
Au (0.0000, 0.5000, 0.5000)
Au (0.5000, 0.5000, 0.5000)
Cs (0.0000, 0.0000, 0.0000)